Entry 1:
BaFeTc2: optimized geometry, PBE.

## Properties
- symmetry = No. 123
- DFT total energy (eV/atom) = -6.3629
- magnetization (μB/cell) = 3.11
- calculated formation energy (kJ/mol of formula units) = 547
- DOS(E_F) (states/eV/f.u.) = 5.07

Geometry as POSCAR:
```
BaFeTc2
1.0
4.6922 0.0000 0.0000
0.0000 4.6922 0.0000
0.0000 0.0000 3.3126
Ba Fe Tc
1 1 2
Direct
0.5000 0.0000 0.5000
0.0000 0.5000 0.5000
0.0000 0.0000 0.0000
0.5000 0.5000 0.0000
```

Entry 2:
Ba2FeTc: optimized geometry, PBE.

## Properties
- symmetry = No. 10
- DFT total energy (eV/atom) = -4.3743
- magnetization (μB/cell) = 4.65
- calculated formation energy (kJ/mol of formula units) = 500
- DOS(E_F) (states/eV/f.u.) = 4.78

Geometry as POSCAR:
```
Ba2FeTc
1.0
-1.1023 3.0984 0.7584
-4.3301 -2.8738 5.4472
0.9722 -1.1647 6.1714
Ba Fe Tc
2 1 1
Direct
0.0000 0.0000 0.0000
0.5000 0.5000 0.0000
0.5000 0.5000 0.5000
0.0000 0.0000 0.5000
```

Entry 3:
BaFeTc2: optimized geometry, PBE.

## Properties
- symmetry = No. 216
- DFT total energy (eV/atom) = -6.6038
- magnetization (μB/cell) = 2.35
- calculated formation energy (kJ/mol of formula units) = 454
- DOS(E_F) (states/eV/f.u.) = 5.20

Geometry as POSCAR:
```
BaFeTc2
1.0
-3.2329 -0.3324 3.3949
-3.3282 -3.3094 -0.2404
0.0829 -3.6365 2.9759
Ba Fe Tc
1 1 2
Direct
0.5000 0.5000 0.5000
0.2500 0.2500 0.2500
0.0000 0.0000 0.0000
0.7500 0.7500 0.7500
```

Entry 4:
Ba2FeTc: optimized geometry, PBE.

## Properties
- symmetry = No. 225
- DFT total energy (eV/atom) = -4.2217
- magnetization (μB/cell) = 2.07
- calculated formation energy (kJ/mol of formula units) = 558
- DOS(E_F) (states/eV/f.u.) = 12.87

Geometry as POSCAR:
```
Ba2FeTc
1.0
2.9535 0.4073 4.5074
-2.4421 0.5118 4.7938
0.1087 -4.0840 3.5377
Fe Ba Tc
1 2 1
Direct
0.0000 0.0000 0.0000
0.2500 0.2500 0.2500
0.7500 0.7500 0.7500
0.5000 0.5000 0.5000
```

What did the first record say?
BaFeTc2: optimized geometry, PBE.

## Properties
- symmetry = No. 123
- DFT total energy (eV/atom) = -6.3629
- magnetization (μB/cell) = 3.11
- calculated formation energy (kJ/mol of formula units) = 547
- DOS(E_F) (states/eV/f.u.) = 5.07

Geometry as POSCAR:
```
BaFeTc2
1.0
4.6922 0.0000 0.0000
0.0000 4.6922 0.0000
0.0000 0.0000 3.3126
Ba Fe Tc
1 1 2
Direct
0.5000 0.0000 0.5000
0.0000 0.5000 0.5000
0.0000 0.0000 0.0000
0.5000 0.5000 0.0000
```